Record 1
Density functional theory data (GGA-PBE) for a relaxed structure of CaMg2Ga2Cu.

Geometry as CIF:
```
data_CaMg2Ga2Cu
_cell_length_a 4.225
_cell_length_b 4.225
_cell_length_c 16.625
_cell_angle_alpha 90.00
_cell_angle_beta 90.00
_cell_angle_gamma 90.00
_symmetry_space_group_name_H-M 'I 4/m m m'
_symmetry_Int_Tables_number 139
_symmetry_space_group_name_Hall '-I 4 2'
loop_
_atom_site_label
_atom_site_type_symbol
_atom_site_fract_x
_atom_site_fract_y
_atom_site_fract_z
Ca1 Ca 0.000 0.000 0.000
Mg1 Mg 0.000 0.500 0.250
Ga1 Ga 0.000 0.000 0.361
Cu1 Cu 0.000 0.000 0.500
```

Summary:
Total moment   0.00 μB per atom
Energy of formation   1 meV/atom
Calculated density   3.265 Mg/m³
E   -2.556 eV per atom

=====

Record 2
Density functional theory data (GGA-PBE) for a relaxed structure of Ca2MgGa5Cu2.

Geometry as CIF:
```
data_Ca2MgGa5Cu2
_cell_length_a 9.653
_cell_length_b 9.653
_cell_length_c 4.056
_cell_angle_alpha 90.00
_cell_angle_beta 90.00
_cell_angle_gamma 90.00
_symmetry_space_group_name_H-M 'P 4/m b m'
_symmetry_Int_Tables_number 127
_symmetry_space_group_name_Hall '-P 4 2ab'
loop_
_atom_site_label
_atom_site_type_symbol
_atom_site_fract_x
_atom_site_fract_y
_atom_site_fract_z
Ca1 Ca 0.185 0.315 0.000
Mg1 Mg 0.000 0.000 0.000
Ga1 Ga 0.000 0.500 0.500
Ga2 Ga 0.058 0.786 0.500
Cu1 Cu 0.109 0.609 0.000
```

Summary:
Total moment   0.00 μB per atom
Energy of formation   -323 meV/atom
Calculated density   5.099 Mg/m³
E   -3.216 eV per atom

=====

Record 3
Density functional theory data (GGA-PBE) for a relaxed structure of Ca2Mg6GaCu.

Geometry as CIF:
```
data_Ca2Mg6GaCu
_cell_length_a 7.824
_cell_length_b 9.719
_cell_length_c 6.684
_cell_angle_alpha 90.00
_cell_angle_beta 90.00
_cell_angle_gamma 90.00
_symmetry_space_group_name_H-M 'P m m n'
_symmetry_Int_Tables_number 59
loop_
_symmetry_equiv_pos_as_xyz
'x,y,z'
'-x,-y,-z'
'-x+1/2,-y+1/2,z'
'x+1/2,y+1/2,-z'
'x+1/2,-y,-z'
'-x+1/2,y,z'
'-x,y+1/2,-z'
'x,-y+1/2,z'
loop_
_atom_site_label
_atom_site_type_symbol
_atom_site_fract_x
_atom_site_fract_y
_atom_site_fract_z
Ca1 Ca 0.250 0.010 0.237
Mg1 Mg 0.056 0.250 0.910
Mg2 Mg 0.057 0.750 0.550
Mg3 Mg 0.250 0.003 0.731
Ga1 Ga 0.250 0.750 0.918
Cu1 Cu 0.250 0.250 0.574
```

Summary:
Total moment   0.00 μB per atom
Energy of formation   -50 meV/atom
Calculated density   2.347 Mg/m³
E   -2.119 eV per atom

=====

Record 4
Density functional theory data (GGA-PBE) for a relaxed structure of CaMg2GaCu.

Geometry as CIF:
```
data_CaMg2GaCu
_cell_length_a 4.940
_cell_length_b 4.940
_cell_length_c 4.696
_cell_angle_alpha 90.00
_cell_angle_beta 90.00
_cell_angle_gamma 90.00
_symmetry_space_group_name_H-M 'P 4/m m m'
_symmetry_Int_Tables_number 123
_symmetry_space_group_name_Hall '-P 4 2'
loop_
_atom_site_label
_atom_site_type_symbol
_atom_site_fract_x
_atom_site_fract_y
_atom_site_fract_z
Ca1 Ca 0.000 0.000 0.000
Mg1 Mg 0.000 0.500 0.500
Ga1 Ga 0.500 0.500 0.000
Cu1 Cu 0.500 0.500 0.500
```

Summary:
Total moment   0.00 μB per atom
Energy of formation   -79 meV/atom
Calculated density   3.216 Mg/m³
E   -2.542 eV per atom

=====

Record 5
Density functional theory data (GGA-PBE) for a relaxed structure of CaNb2Ga2Cu3O12.

Geometry as CIF:
```
data_CaNb2Ga2Cu3O12
_cell_length_a 10.666
_cell_length_b 7.578
_cell_length_c 7.557
_cell_angle_alpha 90.00
_cell_angle_beta 134.67
_cell_angle_gamma 90.00
_symmetry_space_group_name_H-M 'C 1 2/m 1'
_symmetry_Int_Tables_number 12
loop_
_symmetry_equiv_pos_as_xyz
'x,y,z'
'-x,-y,-z'
'-x,y,-z'
'x,-y,z'
'x+1/2,y+1/2,z'
'-x+1/2,-y+1/2,-z'
'-x+1/2,y+1/2,-z'
'x+1/2,-y+1/2,z'
loop_
_atom_site_label
_atom_site_type_symbol
_atom_site_fract_x
_atom_site_fract_y
_atom_site_fract_z
Ca1 Ca 0.000 0.000 0.000
Nb1 Nb 0.250 0.250 0.500
Ga1 Ga 0.250 0.250 0.000
Cu1 Cu 0.000 0.000 0.500
Cu2 Cu 0.000 0.500 0.000
Cu3 Cu 0.000 0.500 0.500
O1 O 0.003 0.305 0.178
O2 O 0.173 0.000 0.868
O3 O 0.174 0.000 0.478
O4 O 0.195 0.325 0.695
```

Summary:
Uncorrected formation energy   -1777 meV/atom
Total moment   0.14 μB per atom
Calculated density   5.719 Mg/m³
E   -6.776 eV per atom

=====

Record 6
Density functional theory data (GGA-PBE) for a relaxed structure of CaNd2Ga2Cu2.

Geometry as CIF:
```
data_CaNd2Ga2Cu2
_cell_length_a 4.4599
_cell_length_b 4.4599
_cell_length_c 28.6520
_cell_angle_alpha 90.00
_cell_angle_beta 90.00
_cell_angle_gamma 120.00
_symmetry_space_group_name_H-M 'R -3 m'
_symmetry_Int_Tables_number 166
_symmetry_space_group_name_Hall '-R 3 2"'
loop_
_atom_site_label
_atom_site_type_symbol
_atom_site_fract_x
_atom_site_fract_y
_atom_site_fract_z
Ca1 Ca 0.0000 0.0000 0.0000
Nd1 Nd 0.0000 0.0000 0.1236
Ga1 Ga 0.0000 0.0000 0.2634
Cu1 Cu 0.0000 0.0000 0.4001
```

Summary:
Total moment   0.00 μB per atom
Energy of formation   -320 meV/atom
Calculated density   6.006 Mg/m³
E   -4.003 eV per atom

=====

- Among the records above, which one has the highest total moment?
  CaNb2Ga2Cu3O12